{"formula": "CaPr4Zn", "functional": "GGA-PBE", "state": "optimized geometry", "lattice": [[3.718, 0.000, 0.000], [0.000, 3.718, 0.000], [0.000, 0.000, 14.532]], "species": ["Ca", "Pr", "Pr", "Pr", "Pr", "Zn"], "frac_coords": [[0.000, 0.000, 0.000], [0.500, 0.500, 0.194], [0.000, 0.000, 0.629], [0.000, 0.000, 0.371], [0.500, 0.500, 0.806], [0.500, 0.500, 0.500]], "total_energy_ev_per_cell": -22.84, "spacegroup": "P4/mmm (123)", "delta_e_f_kj_per_mol_fu": -43}